Entry 1:
{
  "formula": "TbGd2Sn7",
  "functional": "PBE",
  "state": "relaxed",
  "rho_g_cm3": 8.25,
  "spacegroup": "No. 65",
  "lattice": [[2.208, -13.289, 0.000], [2.208, 13.289, 0.000], [0.000, 0.000, 4.473]],
  "species": ["Tb", "Gd", "Gd", "Sn", "Sn", "Sn", "Sn", "Sn", "Sn", "Sn"],
  "frac_coords": [[0.000, 0.000, 0.000], [0.312, 0.688, 0.500], [0.688, 0.312, 0.500], [0.096, 0.904, 0.500], [0.212, 0.788, 0.000], [0.404, 0.596, 0.000], [0.500, 0.500, 0.500], [0.596, 0.404, 0.000], [0.788, 0.212, 0.000], [0.904, 0.096, 0.500]]
}

Entry 2:
{
  "formula": "NaNiHgAs",
  "functional": "PBE",
  "state": "relaxed",
  "rho_g_cm3": 8.17,
  "spacegroup": "No. 216",
  "de_polymorph_mev_per_atom": 142,
  "lattice": [[0.000, 3.311, 3.311], [3.311, 0.000, 3.311], [3.311, 3.311, 0.000]],
  "species": ["Na", "Ni", "Hg", "As"],
  "frac_coords": [[0.000, 0.000, 0.000], [0.250, 0.250, 0.250], [0.750, 0.750, 0.750], [0.500, 0.500, 0.500]]
}

Entry 3:
{
  "formula": "Hf2Bi2Pd",
  "functional": "PBE",
  "state": "relaxed",
  "rho_g_cm3": 11.69,
  "spacegroup": "No. 139",
  "lattice": [[-2.159, 2.159, 6.711], [2.159, -2.159, 6.711], [2.159, 2.159, -6.711]],
  "species": ["Hf", "Hf", "Bi", "Bi", "Pd"],
  "frac_coords": [[0.095, 0.095, 0.000], [0.905, 0.905, 0.000], [0.250, 0.750, 0.500], [0.750, 0.250, 0.500], [0.500, 0.500, 0.000]]
}

Entry 4:
{
  "formula": "LiHfPt2",
  "functional": "PBE",
  "state": "relaxed",
  "rho_g_cm3": 14.80,
  "spacegroup": "No. 65",
  "de_polymorph_mev_per_atom": 81,
  "lattice": [[2.908, -3.253, 0.000], [2.908, 3.253, 0.000], [0.000, 0.000, 3.414]],
  "species": ["Li", "Hf", "Pt", "Pt"],
  "frac_coords": [[0.000, 0.000, 0.000], [0.500, 0.500, 0.000], [0.000, 0.500, 0.500], [0.500, 0.000, 0.500]]
}

Entry 5:
{
  "formula": "CsLiUS3",
  "functional": "PBE",
  "state": "relaxed",
  "rho_g_cm3": 4.85,
  "spacegroup": "No. 63",
  "lattice": [[2.048, -7.533, 0.000], [2.048, 7.533, 0.000], [0.000, 0.000, 10.520]],
  "species": ["Cs", "Cs", "Li", "Li", "U", "U", "S", "S", "S", "S", "S", "S"],
  "frac_coords": [[0.239, 0.761, 0.750], [0.761, 0.239, 0.250], [0.040, 0.960, 0.250], [0.960, 0.040, 0.750], [0.500, 0.500, 0.000], [0.500, 0.500, 0.500], [0.113, 0.887, 0.047], [0.113, 0.887, 0.453], [0.456, 0.544, 0.250], [0.544, 0.456, 0.750], [0.887, 0.113, 0.547], [0.887, 0.113, 0.953]]
}

Entry 6:
{
  "formula": "Tb3Bi7",
  "functional": "PBE",
  "state": "relaxed",
  "rho_g_cm3": 10.96,
  "spacegroup": "No. 65",
  "lattice": [[2.316, -13.803, 0.000], [2.316, 13.803, 0.000], [0.000, 0.000, 4.597]],
  "species": ["Tb", "Tb", "Tb", "Bi", "Bi", "Bi", "Bi", "Bi", "Bi", "Bi"],
  "frac_coords": [[0.000, 0.000, 0.000], [0.307, 0.693, 0.500], [0.693, 0.307, 0.500], [0.099, 0.901, 0.500], [0.205, 0.795, 0.000], [0.400, 0.600, 0.000], [0.500, 0.500, 0.500], [0.600, 0.400, 0.000], [0.795, 0.205, 0.000], [0.901, 0.099, 0.500]]
}

Entry 7:
{
  "formula": "YCd2B",
  "functional": "PBE",
  "state": "relaxed",
  "rho_g_cm3": 6.86,
  "spacegroup": "No. 216",
  "lattice": [[0.000, 3.400, 3.400], [3.400, 0.000, 3.400], [3.400, 3.400, 0.000]],
  "species": ["Y", "Cd", "Cd", "B"],
  "frac_coords": [[0.000, 0.000, 0.000], [0.250, 0.250, 0.250], [0.500, 0.500, 0.500], [0.750, 0.750, 0.750]]
}

Entry 8:
{
  "formula": "Nd3P2S",
  "functional": "PBE",
  "state": "relaxed",
  "rho_g_cm3": 5.83,
  "spacegroup": "No. 71",
  "de_polymorph_mev_per_atom": 0,
  "lattice": [[-2.070, 2.922, 6.201], [2.070, -2.922, 6.201], [2.070, 2.922, -6.201]],
  "species": ["Nd", "Nd", "Nd", "P", "P", "S"],
  "frac_coords": [[0.000, 0.000, 0.000], [0.330, 0.330, 0.000], [0.670, 0.670, 0.000], [0.166, 0.666, 0.500], [0.834, 0.334, 0.500], [0.500, 0.000, 0.500]]
}

| no. | E (Ry per atom) |
| --- | --- |
| 1 | -0.34966 |
| 2 | -0.20040 |
| 3 | -0.45085 |
| 4 | -0.50553 |
| 5 | -0.42917 |
| 6 | -0.34391 |
| 7 | -0.24803 |
| 8 | -0.48809 |